[1]
K2TiReO6: optimized geometry, PBE-GGA.

* formation energy (no corrections): -2.137 eV/atom
* total DFT energy (no corrections): -7.3661 eV/atom
* volume: 122.1 Å³ per cell
* space-group type: Fm-3m, No. 225

Cell: 5.5693 5.5693 5.5693 Å, 60.00 60.00 60.00°
With the nearest neighbours (Å) after each atom.
Sites, in units of the cell vectors:
K 0.2500 0.2500 0.2500  12 O 2.78
K 0.7500 0.7500 0.7500  12 O 2.78
Ti 0.0000 0.0000 0.0000  6 O 2.01
Re 0.5000 0.5000 0.5000  6 O 1.93
O 0.2546 0.2546 0.7454  1 Re 1.93, 1 Ti 2.01
O 0.2546 0.7454 0.2546  1 Re 1.93, 1 Ti 2.01
O 0.2546 0.7454 0.7454  1 Re 1.93, 1 Ti 2.01
O 0.7454 0.2546 0.2546  1 Re 1.93, 1 Ti 2.01
O 0.7454 0.2546 0.7454  1 Re 1.93, 1 Ti 2.01
O 0.7454 0.7454 0.2546  1 Re 1.93, 1 Ti 2.01


[2]
DyAl4Ag: optimized geometry, PBE-GGA.

* total DFT energy (no corrections): -3.8982 eV/atom
* volume: 229.1 Å³ per cell
* space-group type: Cmmm, No. 65
* energy relative to the elements: -0.1610 eV per atom
* relative energy among the computed polymorphs: 0 meV per atom

Cell: 4.2354 12.2843 4.4042 Å, 90.00 90.00 90.00°
With the nearest neighbours (Å) after each atom.
Sites, in units of the cell vectors:
Dy 0.0000 0.0000 0.0000  8 Al 3.04-3.07, 4 Ag 3.06
Dy 0.5000 0.5000 0.0000  8 Al 3.04-3.07, 4 Ag 3.06
Al 0.0000 0.1707 0.5000  8 Al 2.86-3.06, 2 Ag 2.98, 2 Dy 3.04
Al 0.0000 0.3186 0.0000  4 Al 2.71-2.86
Al 0.0000 0.6814 0.0000  4 Al 2.71-2.86
Al 0.0000 0.8293 0.5000  8 Al 2.86-3.06, 2 Ag 2.98, 2 Dy 3.04
Al 0.5000 0.1814 0.0000  4 Al 2.71-2.86
Al 0.5000 0.3293 0.5000  8 Al 2.86-3.06, 2 Ag 2.98, 2 Dy 3.04
Al 0.5000 0.6707 0.5000  8 Al 2.86-3.06, 2 Ag 2.98, 2 Dy 3.04
Al 0.5000 0.8186 0.0000  4 Al 2.71-2.86
Ag 0.0000 0.5000 0.5000  8 Al 2.98-3.13, 4 Dy 3.06
Ag 0.5000 0.0000 0.5000  8 Al 2.98-3.13, 4 Dy 3.06


[3]
Nd2Y5Ho12: optimized geometry, PBE-GGA.

* total DFT energy (no corrections): -5.0716 eV/atom
* volume: 603.1 Å³ per cell
* space-group type: P-1, No. 2
* energy relative to the elements: 0.0226 eV per atom
* relative energy among the computed polymorphs: 0 meV per atom

Cell: 6.1538 9.4108 10.6611 Å, 100.98 95.53 90.08°
With the nearest neighbours (Å) after each atom.
Sites, in units of the cell vectors:
Nd 0.0802 0.3158 0.4729  9 Ho 3.55-3.57, 2 Y 3.56-3.57, 1 Nd 3.56
Nd 0.9198 0.6842 0.5271  9 Ho 3.55-3.57, 2 Y 3.56-3.57, 1 Nd 3.56
Y 0.2375 0.9472 0.4197  8 Ho 3.55-3.58, 2 Y 3.55-3.58, 2 Nd 3.56-3.57
Y 0.3406 0.3689 0.0525  10 Ho 3.53-3.56, 2 Y 3.56
Y 0.5000 0.0000 0.0000  10 Ho 3.54-3.55, 2 Y 3.56
Y 0.6594 0.6311 0.9475  10 Ho 3.53-3.56, 2 Y 3.56
Y 0.7625 0.0528 0.5803  8 Ho 3.55-3.58, 2 Y 3.55-3.58, 2 Nd 3.56-3.57
Ho 0.0247 0.1044 0.1566  7 Ho 3.52-3.57, 4 Y 3.54-3.56, 1 Nd 3.56
Ho 0.1320 0.5261 0.7902  7 Ho 3.54-3.57, 3 Y 3.54-3.55, 2 Nd 3.56
Ho 0.1831 0.7368 0.1043  5 Y 3.53-3.56, 7 Ho 3.54-3.56
Ho 0.2903 0.1586 0.7384  5 Y 3.54-3.58, 6 Ho 3.54-3.56, 1 Nd 3.57
Ho 0.3954 0.5797 0.3674  7 Ho 3.54-3.58, 2 Y 3.54-3.55, 3 Nd 3.55-3.57
Ho 0.4467 0.7901 0.6853  4 Y 3.54-3.57, 6 Ho 3.54-3.57, 2 Nd 3.55-3.56
Ho 0.5533 0.2099 0.3147  4 Y 3.54-3.57, 6 Ho 3.54-3.57, 2 Nd 3.55-3.56
Ho 0.6046 0.4203 0.6326  7 Ho 3.54-3.58, 2 Y 3.54-3.55, 3 Nd 3.55-3.57
Ho 0.7097 0.8414 0.2616  5 Y 3.54-3.58, 6 Ho 3.54-3.56, 1 Nd 3.57
Ho 0.8169 0.2632 0.8957  5 Y 3.53-3.56, 7 Ho 3.54-3.56
Ho 0.8680 0.4739 0.2098  7 Ho 3.54-3.57, 3 Y 3.54-3.55, 2 Nd 3.56
Ho 0.9753 0.8956 0.8434  7 Ho 3.52-3.57, 4 Y 3.54-3.56, 1 Nd 3.56


[4]
La2CuIr: optimized geometry, PBE-GGA.

* total DFT energy (no corrections): -6.1032 eV/atom
* volume: 96.2 Å³ per cell
* space-group type: P2/m, No. 10
* energy relative to the elements: -0.4002 eV per atom

Cell: 3.5958 3.6700 7.2932 Å, 90.00 90.29 90.00°
With the nearest neighbours (Å) after each atom.
Sites, in units of the cell vectors:
La 0.0036 0.0000 0.2633  4 Ir 3.08-3.11, 4 Cu 3.21
La 0.9964 0.0000 0.7367  4 Ir 3.08-3.11, 4 Cu 3.21
Cu 0.5000 0.5000 0.0000  8 La 3.21
Ir 0.5000 0.5000 0.5000  8 La 3.08-3.11


[5]
Be2CoPdI: optimized geometry, PBE-GGA.

* formation energy (no corrections): 0.772 eV/atom
* total DFT energy (no corrections): -3.4885 eV/atom
* volume: 82.6 Å³ per cell
* space-group type: P4/mmm, No. 123

Cell: 4.0947 4.0947 4.9285 Å, 90.00 90.00 90.00°
With the nearest neighbours (Å) after each atom.
Sites, in units of the cell vectors:
Be 0.0000 0.5000 0.0000  2 Co 2.05
Be 0.5000 0.0000 0.0000  2 Co 2.05
Co 0.0000 0.0000 0.0000  4 Be 2.05
Pd 0.5000 0.5000 0.5000  4 I 2.90, 8 Be 3.20
I 0.0000 0.0000 0.5000  2 Co 2.46


[6]
TbEr4MgS8: optimized geometry, PBE-GGA.

* formation energy (no corrections): -1.919 eV/atom
* total DFT energy (no corrections): -6.0254 eV/atom
* volume: 352.4 Å³ per cell
* space-group type: R3m, No. 160

Cell: 7.9333 7.9333 7.9333 Å, 59.91 59.91 59.91°
With the nearest neighbours (Å) after each atom.
Sites, in units of the cell vectors:
Tb 0.0000 0.0000 0.0000  6 S 2.75-2.77
Er 0.0001 0.0001 0.4894  6 S 2.72-2.74
Er 0.0001 0.4894 0.0001  6 S 2.72-2.74
Er 0.4894 0.0001 0.0001  6 S 2.72-2.74
Er 0.6226 0.6226 0.6226  4 S 2.58-2.59
Mg 0.3726 0.3726 0.3726  4 S 2.50-2.52
S 0.2237 0.7534 0.7534  3 Er 2.58-2.74, 1 Tb 2.77
S 0.2432 0.2432 0.2432  1 Mg 2.52, 3 Er 2.73
S 0.2451 0.2451 0.7594  1 Mg 2.50, 2 Er 2.72, 1 Tb 2.75
S 0.2451 0.7594 0.2451  1 Mg 2.50, 2 Er 2.72, 1 Tb 2.75
S 0.7534 0.2237 0.7534  3 Er 2.58-2.74, 1 Tb 2.77
S 0.7534 0.7534 0.2237  3 Er 2.58-2.74, 1 Tb 2.77
S 0.7559 0.7559 0.7559  4 Er 2.59-2.74
S 0.7594 0.2451 0.2451  1 Mg 2.50, 2 Er 2.72, 1 Tb 2.75


[7]
Tm2SbH: optimized geometry, PBE-GGA.

* total DFT energy (no corrections): -4.5994 eV/atom
* volume: 265.2 Å³ per cell
* space-group type: R-3m, No. 166
* relative energy among the computed polymorphs: 94 meV per atom

Cell: 4.0505 4.0505 18.6624 Å, 90.00 90.00 120.00°
With the nearest neighbours (Å) after each atom.
Sites, in units of the cell vectors:
Tm 0.0000 0.0000 0.2352  3 H 2.67, 3 Sb 2.97
Tm 0.0000 0.0000 0.7648  3 H 2.67, 3 Sb 2.97
Tm 0.3333 0.6667 0.4315  3 H 2.67, 3 Sb 2.97
Tm 0.3333 0.6667 0.9019  3 H 2.67, 3 Sb 2.97
Tm 0.6667 0.3333 0.0981  3 H 2.67, 3 Sb 2.97
Tm 0.6667 0.3333 0.5685  3 H 2.67, 3 Sb 2.97
Sb 0.0000 0.0000 0.0000  6 Tm 2.97
Sb 0.3333 0.6667 0.6667  6 Tm 2.97
Sb 0.6667 0.3333 0.3333  6 Tm 2.97
H 0.0000 0.0000 0.5000  6 Tm 2.67
H 0.3333 0.6667 0.1667  6 Tm 2.67
H 0.6667 0.3333 0.8333  6 Tm 2.67


[8]
Dy2ZnOs: optimized geometry, PBE-GGA.

* total DFT energy (no corrections): -5.7061 eV/atom
* volume: 334.2 Å³ per cell
* space-group type: Fm-3m, No. 225
* energy relative to the elements: -0.2791 eV per atom
* relative energy among the computed polymorphs: 16 meV per atom

Cell: 6.9393 6.9393 6.9393 Å, 90.00 90.00 90.00°
With the nearest neighbours (Å) after each atom.
Sites, in units of the cell vectors:
Dy 0.2500 0.2500 0.2500  4 Os 3.00, 4 Zn 3.00
Dy 0.2500 0.2500 0.7500  4 Os 3.00, 4 Zn 3.00
Dy 0.2500 0.7500 0.2500  4 Os 3.00, 4 Zn 3.00
Dy 0.2500 0.7500 0.7500  4 Os 3.00, 4 Zn 3.00
Dy 0.7500 0.2500 0.2500  4 Os 3.00, 4 Zn 3.00
Dy 0.7500 0.2500 0.7500  4 Os 3.00, 4 Zn 3.00
Dy 0.7500 0.7500 0.2500  4 Os 3.00, 4 Zn 3.00
Dy 0.7500 0.7500 0.7500  4 Os 3.00, 4 Zn 3.00
Zn 0.0000 0.0000 0.0000  8 Dy 3.00
Zn 0.0000 0.5000 0.5000  8 Dy 3.00
Zn 0.5000 0.0000 0.5000  8 Dy 3.00
Zn 0.5000 0.5000 0.0000  8 Dy 3.00
Os 0.0000 0.0000 0.5000  8 Dy 3.00
Os 0.0000 0.5000 0.0000  8 Dy 3.00
Os 0.5000 0.0000 0.0000  8 Dy 3.00
Os 0.5000 0.5000 0.5000  8 Dy 3.00


[9]
NaMg2TaIn: optimized geometry, PBE-GGA.

* total DFT energy (no corrections): -2.5325 eV/atom
* volume: 114.7 Å³ per cell
* space-group type: P4/mmm, No. 123
* energy relative to the elements: 1.2874 eV per atom

Cell: 4.7776 4.7776 5.0243 Å, 90.00 90.00 90.00°
With the nearest neighbours (Å) after each atom.
Sites, in units of the cell vectors:
Na 0.0000 0.0000 0.0000  4 Mg 2.39, 2 In 2.51
Mg 0.0000 0.5000 0.0000  2 Na 2.39
Mg 0.5000 0.0000 0.0000  2 Na 2.39
Ta 0.5000 0.5000 0.5000  4 In 3.38, 8 Mg 3.47
In 0.0000 0.0000 0.5000  2 Na 2.51


[10]
Hf2VAs: optimized geometry, PBE-GGA.

* total DFT energy (no corrections): -8.5468 eV/atom
* volume: 235.9 Å³ per cell
* space-group type: R-3m, No. 166
* energy relative to the elements: -0.1281 eV per atom

Cell: 3.4040 3.4040 23.5067 Å, 90.00 90.00 120.00°
With the nearest neighbours (Å) after each atom.
Sites, in units of the cell vectors:
Hf 0.0000 0.0000 0.2445  3 As 2.68, 3 V 2.87
Hf 0.0000 0.0000 0.7555  3 As 2.68, 3 V 2.87
Hf 0.3333 0.6667 0.4222  3 As 2.68, 3 V 2.87
Hf 0.3333 0.6667 0.9111  3 As 2.68, 3 V 2.87
Hf 0.6667 0.3333 0.0889  3 As 2.68, 3 V 2.87
Hf 0.6667 0.3333 0.5778  3 As 2.68, 3 V 2.87
V 0.0000 0.0000 0.0000  6 Hf 2.87
V 0.3333 0.6667 0.6667  6 Hf 2.87
V 0.6667 0.3333 0.3333  6 Hf 2.87
As 0.0000 0.0000 0.5000  6 Hf 2.68
As 0.3333 0.6667 0.1667  6 Hf 2.68
As 0.6667 0.3333 0.8333  6 Hf 2.68